[1]
VASP calculation (GGA-PBE) on an optimized crystal structure of PaTc2O4.

abc: 6.401 6.401 6.401
angles: 60.00 60.00 60.00
Fractional positions:
Pa  0.125  0.125  0.125
Pa  0.875  0.875  0.875
Tc  0.000  0.500  0.500
Tc  0.500  0.000  0.500
Tc  0.500  0.500  0.000
Tc  0.500  0.500  0.500
O  0.266  0.266  0.266
O  0.266  0.266  0.703
O  0.266  0.703  0.266
O  0.297  0.734  0.734
O  0.703  0.266  0.266
O  0.734  0.297  0.734
O  0.734  0.734  0.297
O  0.734  0.734  0.734

Properties
Electronic total energy   -57.41 eV per formula unit
Volume   13.2 A^3/atom
SG   No. 227

---

[2]
VASP calculation (GGA-PBE) on an optimized crystal structure of PaTeO3.

abc: 4.374 4.374 4.446
angles: 90.00 90.00 90.00
Fractional positions:
Pa  0.000  0.000  0.000
Te  0.500  0.500  0.500
O  0.000  0.000  0.500
O  0.000  0.500  0.005
O  0.500  0.000  0.005

Properties
Electronic total energy   -35.59 eV per formula unit
Volume   17.0 A^3/atom
SG   No. 99

---

[3]
VASP calculation (GGA-PBE) on an optimized crystal structure of PaTeO6.

abc: 4.545 4.545 5.027
angles: 95.15 95.15 106.70
Fractional positions:
Pa  0.000  0.000  0.000
Te  0.500  0.500  0.500
O  0.164  0.502  0.235
O  0.211  0.211  0.681
O  0.498  0.836  0.765
O  0.502  0.164  0.235
O  0.789  0.789  0.319
O  0.836  0.498  0.765

Properties
Electronic total energy   -53.93 eV per formula unit
Volume   12.3 A^3/atom
SG   No. 12

---

[4]
VASP calculation (GGA-PBE) on an optimized crystal structure of Pa2Te2O5.

abc: 4.247 4.247 8.892
angles: 90.00 90.00 90.00
Fractional positions:
Pa  0.000  0.000  0.247
Pa  0.000  0.000  0.753
Te  0.500  0.500  0.000
Te  0.500  0.500  0.500
O  0.000  0.000  0.500
O  0.000  0.500  0.292
O  0.000  0.500  0.708
O  0.500  0.000  0.292
O  0.500  0.000  0.708

Properties
Volume   17.8 A^3/atom
SG   No. 123
Distance to the lowest polymorph of the same formula   0.0000 eV/atom

---

[5]
VASP calculation (GGA-PBE) on an optimized crystal structure of PaTeO3.

abc: 7.224 7.224 7.224
angles: 48.73 48.73 48.73
Fractional positions:
Pa  0.163  0.163  0.163
Pa  0.837  0.837  0.837
Te  0.351  0.351  0.351
Te  0.649  0.649  0.649
O  0.063  0.446  0.813
O  0.187  0.937  0.554
O  0.446  0.813  0.063
O  0.554  0.187  0.937
O  0.813  0.063  0.446
O  0.937  0.554  0.187

Properties
Electronic total energy   -35.75 eV per formula unit
Volume   19.5 A^3/atom
SG   No. 148

---

[6]
VASP calculation (GGA-PBE) on an optimized crystal structure of PaTeO3.

abc: 6.075 9.946 5.795
angles: 90.00 90.00 90.00
Fractional positions:
Pa  0.000  0.000  0.000
Pa  0.000  0.500  0.000
Pa  0.500  0.000  0.500
Pa  0.500  0.500  0.500
Te  0.079  0.250  0.362
Te  0.421  0.750  0.862
Te  0.579  0.250  0.138
Te  0.921  0.750  0.638
O  0.104  0.750  0.996
O  0.222  0.053  0.759
O  0.222  0.447  0.759
O  0.278  0.553  0.259
O  0.278  0.947  0.259
O  0.396  0.250  0.496
O  0.604  0.750  0.504
O  0.722  0.053  0.741
O  0.722  0.447  0.741
O  0.778  0.553  0.241
O  0.778  0.947  0.241
O  0.896  0.250  0.004

Properties
Electronic total energy   -36.36 eV per formula unit
Volume   17.5 A^3/atom
SG   No. 62

---

[7]
VASP calculation (GGA-PBE) on an optimized crystal structure of Pa2Te2O5.

abc: 4.205 4.205 7.542
angles: 90.00 90.00 90.00
Fractional positions:
Pa  0.000  0.000  0.000
Pa  0.000  0.000  0.500
Te  0.500  0.500  0.193
Te  0.500  0.500  0.807
O  0.000  0.500  0.299
O  0.000  0.500  0.701
O  0.500  0.000  0.299
O  0.500  0.000  0.701
O  0.500  0.500  0.500

Properties
Volume   14.8 A^3/atom
SG   No. 123
Distance to the lowest polymorph of the same formula   0.8155 eV/atom

---

[8]
VASP calculation (GGA-PBE) on an optimized crystal structure of PaTe2O4.

abc: 7.151 7.151 7.151
angles: 60.00 60.00 60.00
Fractional positions:
Pa  0.125  0.125  0.125
Pa  0.875  0.875  0.875
Te  0.000  0.500  0.500
Te  0.500  0.000  0.500
Te  0.500  0.500  0.000
Te  0.500  0.500  0.500
O  0.249  0.750  0.750
O  0.250  0.250  0.250
O  0.250  0.250  0.751
O  0.250  0.751  0.250
O  0.750  0.249  0.750
O  0.750  0.750  0.249
O  0.750  0.750  0.750
O  0.751  0.250  0.250

Properties
Electronic total energy   -40.50 eV per formula unit
Volume   18.5 A^3/atom
SG   No. 227

---

[9]
VASP calculation (GGA-PBE) on an optimized crystal structure of PaTeO3.

abc: 5.849 5.849 5.849
angles: 64.82 64.82 64.82
Fractional positions:
Pa  0.000  0.000  0.000
Pa  0.500  0.500  0.500
Te  0.250  0.250  0.250
Te  0.750  0.750  0.750
O  0.138  0.750  0.362
O  0.250  0.638  0.862
O  0.362  0.138  0.750
O  0.638  0.862  0.250
O  0.750  0.362  0.138
O  0.862  0.250  0.638

Properties
Electronic total energy   -35.42 eV per formula unit
Volume   15.6 A^3/atom
SG   No. 167

---

[10]
VASP calculation (GGA-PBE) on an optimized crystal structure of PaTlO3.

abc: 6.219 6.219 6.219
angles: 60.13 60.13 60.13
Fractional positions:
Pa  0.000  0.000  0.000
Pa  0.500  0.500  0.500
Tl  0.250  0.250  0.250
Tl  0.750  0.750  0.750
O  0.227  0.750  0.273
O  0.250  0.727  0.773
O  0.273  0.227  0.750
O  0.727  0.773  0.250
O  0.750  0.273  0.227
O  0.773  0.250  0.727

Properties
Electronic total energy   -38.22 eV per formula unit
Volume   17.1 A^3/atom
SG   No. 167

---

[11]
VASP calculation (GGA-PBE) on an optimized crystal structure of Pa2TlO6.

abc: 8.046 8.046 8.046
angles: 60.00 60.00 60.00
Fractional positions:
Pa  0.000  0.000  0.000
Pa  0.000  0.000  0.500
Pa  0.000  0.500  0.000
Pa  0.500  0.000  0.000
Tl  0.375  0.375  0.375
Tl  0.625  0.625  0.625
O  0.072  0.072  0.678
O  0.072  0.678  0.072
O  0.072  0.678  0.678
O  0.322  0.322  0.928
O  0.322  0.928  0.322
O  0.322  0.928  0.928
O  0.678  0.072  0.072
O  0.678  0.072  0.678
O  0.678  0.678  0.072
O  0.928  0.322  0.322
O  0.928  0.322  0.928
O  0.928  0.928  0.322

Properties
Electronic total energy   -71.26 eV per formula unit
Volume   20.5 A^3/atom
SG   No. 227

---

[12]
VASP calculation (GGA-PBE) on an optimized crystal structure of PaTlO3.

abc: 6.234 8.801 6.196
angles: 90.00 90.00 90.00
Fractional positions:
Pa  0.000  0.000  0.000
Pa  0.000  0.500  0.000
Pa  0.500  0.000  0.500
Pa  0.500  0.500  0.500
Tl  0.001  0.250  0.500
Tl  0.499  0.750  0.000
Tl  0.501  0.250  0.000
Tl  0.999  0.750  0.500
O  0.000  0.250  0.019
O  0.000  0.750  0.981
O  0.240  0.509  0.261
O  0.240  0.991  0.261
O  0.260  0.009  0.761
O  0.260  0.491  0.761
O  0.500  0.250  0.481
O  0.500  0.750  0.519
O  0.740  0.509  0.239
O  0.740  0.991  0.239
O  0.760  0.009  0.739
O  0.760  0.491  0.739

Properties
Electronic total energy   -38.21 eV per formula unit
Volume   17.0 A^3/atom
SG   No. 62

---

Number 7 is which compound? Pa2Te2O5

---

Which formula does entry 3 have? PaTeO6

---

Which value of volume does entry 12 give? 17.0 A^3/atom

---

The lowest volume belongs to which entry? PaTeO6